A plane-wave DFT calculation with PBE was carried out for a geometry-optimized LiWAu structure.

Cell lengths 5.7760, 3.7707, 8.5990 Å; angles 90.00, 90.00, 90.00 degrees
Fractional positions:
1 Li 0.1401 0.2500 0.2425
2 Li 0.3599 0.7500 0.7425
3 Li 0.6401 0.2500 0.2575
4 Li 0.8599 0.7500 0.7575
5 W 0.1080 0.2500 0.5659
6 W 0.3920 0.7500 0.0659
7 W 0.6080 0.2500 0.9341
8 W 0.8920 0.7500 0.4341
9 Au 0.1095 0.2500 0.8938
10 Au 0.3905 0.7500 0.3938
11 Au 0.6095 0.2500 0.6062
12 Au 0.8905 0.7500 0.1062

Computed properties:
M_tot, Bohr magnetons per cell: 0.000
Energy relative to the lowest polymorph listed for this composition, meV/atom: 0
Formation energy, eV per atom: 0.1521

A plane-wave DFT calculation with PBE was carried out for a geometry-optimized BaScAg2 structure.

Cell lengths 4.9117, 4.9117, 6.4190 Å; angles 112.57, 112.57, 60.04 degrees
Fractional positions:
1 Ba 0.0000 0.0000 0.0000
2 Sc 0.5000 0.5000 0.5000
3 Ag 0.1973 0.1973 0.5919
4 Ag 0.8027 0.8027 0.4081

Computed properties:
M_tot, Bohr magnetons per cell: 0.000
Energy relative to the lowest polymorph listed for this composition, meV/atom: 35
Formation energy, eV per atom: -0.1396

A plane-wave DFT calculation with PBE was carried out for a geometry-optimized NaThTlCl6 structure.

Cell lengths 7.2787, 7.2787, 13.7773 Å; angles 90.00, 90.00, 120.00 degrees
Fractional positions:
1 Na 0.3333 0.6667 0.2500
2 Na 0.6667 0.3333 0.7500
3 Th 0.3333 0.6667 0.7500
4 Th 0.6667 0.3333 0.2500
5 Tl 0.0000 0.0000 0.0000
6 Tl 0.0000 0.0000 0.5000
7 Cl 0.0164 0.3741 0.6388
8 Cl 0.0164 0.6423 0.8612
9 Cl 0.3577 0.3741 0.8612
10 Cl 0.3577 0.9836 0.6388
11 Cl 0.3741 0.0164 0.1388
12 Cl 0.3741 0.3577 0.3612
13 Cl 0.6259 0.6423 0.6388
14 Cl 0.6259 0.9836 0.8612
15 Cl 0.6423 0.0164 0.3612
16 Cl 0.6423 0.6259 0.1388
17 Cl 0.9836 0.3577 0.1388
18 Cl 0.9836 0.6259 0.3612

Computed properties:
M_tot, Bohr magnetons per cell: 0.000
DFT total energy, eV per atom: -4.332

A plane-wave DFT calculation with PBE was carried out for a geometry-optimized K2SrCuCl6 structure.

Cell lengths 7.2749, 7.7467, 12.2589 Å; angles 90.00, 125.18, 90.00 degrees
Fractional positions:
1 K 0.2256 0.0712 0.2473
2 K 0.2256 0.4288 0.7473
3 K 0.7744 0.5712 0.2527
4 K 0.7744 0.9288 0.7527
5 Sr 0.0000 0.0000 0.5000
6 Sr 0.0000 0.5000 0.0000
7 Cu 0.5000 0.0000 0.0000
8 Cu 0.5000 0.5000 0.5000
9 Cl 0.1877 0.1804 0.9609
10 Cl 0.1877 0.3196 0.4609
11 Cl 0.2485 0.7046 0.9405
12 Cl 0.2485 0.7954 0.4405
13 Cl 0.3764 0.0296 0.7807
14 Cl 0.3764 0.4704 0.2807
15 Cl 0.6236 0.5296 0.7193
16 Cl 0.6236 0.9704 0.2193
17 Cl 0.7515 0.2046 0.5595
18 Cl 0.7515 0.2954 0.0595
19 Cl 0.8123 0.6804 0.5391
20 Cl 0.8123 0.8196 0.0391

Computed properties:
M_tot, Bohr magnetons per cell: 2.023
DFT total energy, eV per atom: -3.530

A plane-wave DFT calculation with PBE was carried out for a geometry-optimized BaMoRh2 structure.

Cell lengths 5.1334, 5.1334, 2.9794 Å; angles 90.13, 90.13, 89.98 degrees
Fractional positions:
1 Ba 0.0000 0.0000 0.0000
2 Mo 0.5000 0.5000 0.0000
3 Rh 0.0000 0.5000 0.5000
4 Rh 0.5000 0.0000 0.5000

Computed properties:
M_tot, Bohr magnetons per cell: 0.000
Energy relative to the lowest polymorph listed for this composition, meV/atom: 525
Formation energy, eV per atom: 0.6503

A plane-wave DFT calculation with PBE was carried out for a geometry-optimized Nb2NiH structure.

Cell lengths 4.2150, 4.2150, 4.2150 Å; angles 60.00, 60.00, 60.00 degrees
Fractional positions:
1 Nb 0.2500 0.2500 0.2500
2 Nb 0.7500 0.7500 0.7500
3 Ni 0.0000 0.0000 0.0000
4 H 0.5000 0.5000 0.5000

Computed properties:
M_tot, Bohr magnetons per cell: 0.000
Energy relative to the lowest polymorph listed for this composition, meV/atom: 0

A plane-wave DFT calculation with PBE was carried out for a geometry-optimized LiScAl6 structure.

Cell lengths 5.7557, 5.7557, 4.0975 Å; angles 90.00, 90.00, 90.00 degrees
Fractional positions:
1 Li 0.0000 0.0000 0.0000
2 Sc 0.5000 0.5000 0.0000
3 Al 0.0000 0.5000 0.0000
4 Al 0.2469 0.2469 0.5000
5 Al 0.2469 0.7531 0.5000
6 Al 0.5000 0.0000 0.0000
7 Al 0.7531 0.2469 0.5000
8 Al 0.7531 0.7531 0.5000

Computed properties:
M_tot, Bohr magnetons per cell: 0.000
Formation energy, eV per atom: -0.2614

A plane-wave DFT calculation with PBE was carried out for a geometry-optimized Pa2HBr2Cl4 structure.

Cell lengths 8.7644, 8.7644, 7.5365 Å; angles 115.33, 115.33, 36.37 degrees
Fractional positions:
1 Pa 0.0000 0.0000 0.2504
2 Pa 0.0000 0.0000 0.7496
3 H 0.0000 0.0000 0.0000
4 Br 0.1473 0.1473 0.6466
5 Br 0.8527 0.8527 0.3534
6 Cl 0.1470 0.1470 0.1463
7 Cl 0.5000 0.5000 0.2478
8 Cl 0.5000 0.5000 0.7522
9 Cl 0.8530 0.8530 0.8537

Computed properties:
M_tot, Bohr magnetons per cell: 3.000
DFT total energy, eV per atom: -5.000